# Li3MnP2O9 PBE with a Hubbard U relaxed
# Uncorrected energy   -196.7 eV for the cell shown
# DOS at the Fermi energy   0.518 states/eV/atom
data_Li3MnP2O9
_cell_length_a 6.8746
_cell_length_b 7.1347
_cell_length_c 7.8439
_cell_angle_alpha 88.75
_cell_angle_beta 64.34
_cell_angle_gamma 87.28
_symmetry_space_group_name_H-M 'P 1'
_symmetry_Int_Tables_number 1
loop_
_symmetry_equiv_pos_as_xyz
'x,y,z'
loop_
_atom_site_label
_atom_site_type_symbol
_atom_site_fract_x
_atom_site_fract_y
_atom_site_fract_z
Li1 Li 0.0000 0.0000 0.0000
Li2 Li 0.0957 0.2583 0.2775
Li3 Li 0.2478 0.5111 0.5709
Li4 Li 0.4829 0.4591 0.0624
Li5 Li 0.6929 0.0607 0.5109
Li6 Li 0.8553 0.7594 0.7875
Mn1 Mn 0.0925 0.7622 0.2816
Mn2 Mn 0.5890 0.7563 0.2881
P1 P 0.1984 0.0452 0.5388
P2 P 0.4744 0.0011 0.9881
P3 P 0.7170 0.5175 0.5839
P4 P 0.9757 0.4716 0.0332
O1 O 0.0626 0.5570 0.8361
O2 O 0.0729 0.9629 0.7352
O3 O 0.0886 0.9927 0.4073
O4 O 0.1005 0.5348 0.1499
O5 O 0.2082 0.2580 0.5275
O6 O 0.2646 0.8868 0.0443
O7 O 0.3325 0.6551 0.3104
O8 O 0.4148 0.1955 0.0784
O9 O 0.4399 0.9663 0.4534
O10 O 0.5516 0.6060 0.5115
O11 O 0.5974 0.0003 0.7739
O12 O 0.6127 0.5212 0.7981
O13 O 0.6327 0.8884 0.0569
O14 O 0.7296 0.5393 0.1369
O15 O 0.7877 0.3226 0.4943
O16 O 0.8455 0.8637 0.2621
O17 O 0.9148 0.6490 0.5244
O18 O 0.9852 0.2590 0.0482